Computed, not measured: an optimized crystal structure of AgHgP2 at the PBE level of DFT.

Output
DFT total energy: -3.17 eV per atom
Formation energy: 0.32 eV per atom

a = 3.133 Å, b = 3.133 Å, c = 7.782 Å
α = 90.00°, β = 90.00°, γ = 90.00°
Atoms (fractional coordinates):
Ag: 0.000 0.000 0.000
Hg: 0.500 0.500 0.273
P: 0.000 0.000 0.620
P: 0.500 0.500 0.733

Computed, not measured: an optimized crystal structure of Ag4HgP at the PBE level of DFT.

Output
DFT total energy: -2.47 eV per atom
Formation energy: 0.39 eV per atom

a = 5.508 Å, b = 5.508 Å, c = 5.508 Å
α = 60.00°, β = 60.00°, γ = 60.00°
Atoms (fractional coordinates):
Ag: 0.125 0.125 0.125
Ag: 0.125 0.125 0.625
Ag: 0.125 0.625 0.125
Ag: 0.625 0.125 0.125
Hg: 0.750 0.750 0.750
P: 0.500 0.500 0.500

Computed, not measured: an optimized crystal structure of AgHgP2 at the PBE level of DFT.

Output
DFT total energy: -2.91 eV per atom
Formation energy: 0.58 eV per atom

a = 5.979 Å, b = 5.979 Å, c = 5.979 Å
α = 144.33°, β = 141.76°, γ = 53.29°
Atoms (fractional coordinates):
Ag: 0.000 0.000 0.000
Hg: 0.500 0.500 0.000
P: 0.243 0.743 0.500
P: 0.757 0.257 0.500

Computed, not measured: an optimized crystal structure of AgHg4P at the PBE level of DFT.

Output
DFT total energy: -1.01 eV per atom
Formation energy: 0.57 eV per atom

a = 5.839 Å, b = 5.839 Å, c = 5.839 Å
α = 60.00°, β = 60.00°, γ = 60.00°
Atoms (fractional coordinates):
Ag: 0.000 0.000 0.000
Hg: 0.125 0.625 0.625
Hg: 0.625 0.125 0.625
Hg: 0.625 0.625 0.125
Hg: 0.625 0.625 0.625
P: 0.250 0.250 0.250